1.
Ba2Li4Sb3Pb | GGA-PBE | relaxed

Unit cell a=4.7769 b=4.7769 c=11.9786 alpha=90.00 beta=90.00 gamma=90.00
Element x y z (fractional)
Ba 0.0000 0.5000 0.2332
Ba 0.5000 0.0000 0.7668
Li 0.0000 0.0000 0.0000
Li 0.0000 0.5000 0.6424
Li 0.5000 0.0000 0.3576
Li 0.5000 0.5000 0.0000
Sb 0.0000 0.5000 0.8704
Sb 0.5000 0.0000 0.1296
Sb 0.5000 0.5000 0.5000
Pb 0.0000 0.0000 0.5000

Results
Symmetry = P-4m2 (115)
DFT total energy = -3.50 eV/atom

2.
CsInCo2Bi | GGA-PBE | relaxed

Unit cell a=5.0718 b=5.0718 c=6.9734 alpha=90.00 beta=90.00 gamma=90.00
Element x y z (fractional)
Cs 0.0000 0.0000 0.0000
In 0.5000 0.5000 0.0000
Co 0.0000 0.5000 0.5000
Co 0.5000 0.0000 0.5000
Bi 0.0000 0.0000 0.5000

Results
Symmetry = P4/mmm (123)
DFT total energy = -3.23 eV/atom
ΔE_f = 1106.8 meV/atom

3.
Pr2GdHg | GGA-PBE | relaxed

Unit cell a=3.7814 b=3.7814 c=8.8618 alpha=90.00 beta=90.00 gamma=90.00
Element x y z (fractional)
Pr 0.0000 0.0000 0.2238
Pr 0.0000 0.0000 0.7762
Gd 0.5000 0.5000 0.5000
Hg 0.5000 0.5000 0.0000

Results
Symmetry = P4/mmm (123)
Polymorph energy (0 for the lowest one) = 0.00 eV/f.u.
DFT total energy = -6.20 eV/atom
ΔE_f = -217.8 meV/atom

4.
Pr2ThGa6 | GGA-PBE | relaxed

Unit cell a=7.4221 b=7.4221 c=4.3115 alpha=90.00 beta=90.00 gamma=120.00
Element x y z (fractional)
Pr 0.3333 0.6667 0.0000
Pr 0.6667 0.3333 0.0000
Th 0.0000 0.0000 0.0000
Ga 0.0000 0.3326 0.5000
Ga 0.0000 0.6674 0.5000
Ga 0.3326 0.0000 0.5000
Ga 0.3326 0.3326 0.5000
Ga 0.6674 0.0000 0.5000
Ga 0.6674 0.6674 0.5000

Results
Symmetry = P6/mmm (191)
DFT total energy = -4.58 eV/atom
ΔE_f = -674.0 meV/atom

5.
CePrGaGe | GGA-PBE | relaxed

Unit cell a=4.1086 b=4.4446 c=11.3003 alpha=90.00 beta=90.00 gamma=90.00
Element x y z (fractional)
Ce 0.0000 0.0000 0.0000
Ce 0.0000 0.5000 0.5000
Pr 0.5000 0.0000 0.7153
Pr 0.5000 0.5000 0.2153
Ga 0.0000 0.0000 0.2859
Ga 0.0000 0.5000 0.7859
Ge 0.5000 0.0000 0.4340
Ge 0.5000 0.5000 0.9340

Results
Symmetry = Amm2 (38)
Polymorph energy (0 for the lowest one) = 0.00 eV/f.u.
DFT total energy = -5.26 eV/atom
ΔE_f = -674.2 meV/atom

6.
Pr6Os2AuI3 | GGA-PBE | relaxed

Unit cell a=7.4233 b=7.4233 c=8.5659 alpha=98.29 beta=98.29 gamma=120.00
Element x y z (fractional)
Pr 0.0803 0.4372 0.8120
Pr 0.2053 0.2053 0.1872
Pr 0.4372 0.0803 0.8120
Pr 0.5628 0.9197 0.1880
Pr 0.7947 0.7947 0.8128
Pr 0.9197 0.5628 0.1880
Os 0.1667 0.8333 0.0000
Os 0.8333 0.1667 0.0000
Au 0.5000 0.5000 0.0000
I 0.0000 0.0000 0.5000
I 0.3345 0.6655 0.5000
I 0.6655 0.3345 0.5000

Results
Symmetry = C2/m (12)
DFT total energy = -5.62 eV/atom

7.
BaY2ZrMo | GGA-PBE | relaxed

Unit cell a=5.4357 b=5.4357 c=5.2668 alpha=90.00 beta=90.00 gamma=90.00
Element x y z (fractional)
Ba 0.0000 0.0000 0.0000
Y 0.0000 0.5000 0.0000
Y 0.5000 0.0000 0.0000
Zr 0.0000 0.0000 0.5000
Mo 0.5000 0.5000 0.5000

Results
Symmetry = P4/mmm (123)
DFT total energy = -4.80 eV/atom
ΔE_f = 2041.4 meV/atom

8.
KTeF6 | GGA-PBE | relaxed

Unit cell a=6.8087 b=7.9160 c=5.2154 alpha=90.00 beta=100.62 gamma=90.00
Element x y z (fractional)
K 0.0000 0.0000 0.0000
K 0.5000 0.5000 0.0000
Te 0.0000 0.5000 0.5000
Te 0.5000 0.0000 0.5000
F 0.0981 0.3266 0.7669
F 0.0981 0.6734 0.7669
F 0.2304 0.0000 0.5918
F 0.2696 0.5000 0.4082
F 0.4019 0.1734 0.2331
F 0.4019 0.8266 0.2331
F 0.5981 0.1734 0.7669
F 0.5981 0.8266 0.7669
F 0.7304 0.5000 0.5918
F 0.7696 0.0000 0.4082
F 0.9019 0.3266 0.2331
F 0.9019 0.6734 0.2331

Results
Symmetry = C2/m (12)
Polymorph energy (0 for the lowest one) = 0.00 eV/f.u.
DFT total energy = -4.19 eV/atom

9.
TbPmPr2Pt2 | GGA-PBE | relaxed

Unit cell a=8.6768 b=8.6768 c=8.6768 alpha=132.97 beta=68.68 gamma=133.00
Element x y z (fractional)
Tb 0.2500 0.2500 0.0000
Tb 0.7500 0.7500 0.0000
Pm 0.2500 0.7500 0.5000
Pm 0.7500 0.2500 0.5000
Pr 0.1922 0.2134 0.4057
Pr 0.3078 0.7134 0.0212
Pr 0.6922 0.2866 0.9788
Pr 0.8078 0.7866 0.5943
Pt 0.1100 0.7654 0.8754
Pt 0.3900 0.2654 0.6553
Pt 0.6100 0.7346 0.3447
Pt 0.8900 0.2346 0.1246

Results
Symmetry = Ibam (72)
DFT total energy = -5.96 eV/atom
ΔE_f = -784.8 meV/atom

10.
PmPuTl2 | GGA-PBE | relaxed

Unit cell a=7.7266 b=7.7266 c=7.7266 alpha=90.00 beta=90.00 gamma=90.00
Element x y z (fractional)
Pm 0.0000 0.0000 0.0000
Pm 0.0000 0.5000 0.5000
Pm 0.5000 0.0000 0.5000
Pm 0.5000 0.5000 0.0000
Pu 0.0000 0.0000 0.5000
Pu 0.0000 0.5000 0.0000
Pu 0.5000 0.0000 0.0000
Pu 0.5000 0.5000 0.5000
Tl 0.2500 0.2500 0.2500
Tl 0.2500 0.2500 0.7500
Tl 0.2500 0.7500 0.2500
Tl 0.2500 0.7500 0.7500
Tl 0.7500 0.2500 0.2500
Tl 0.7500 0.2500 0.7500
Tl 0.7500 0.7500 0.2500
Tl 0.7500 0.7500 0.7500

Results
Symmetry = Fm-3m (225)
Polymorph energy (0 for the lowest one) = 0.14 eV/f.u.
DFT total energy = -6.11 eV/atom
ΔE_f = -154.7 meV/atom